The following is a DFT calculation (GGA-PBE) of a geometry-optimized K2TlCu3F12 structure.

Cell and atoms, written as POSCAR:
```
K2TlCu3F12
1.0
7.338 -0.006 -0.005
3.618 6.384 -0.005
3.618 2.106 6.026
K Tl Cu F
2 1 3 12
Direct
0.617 0.617 0.617
0.383 0.383 0.383
0.000 0.000 0.000
0.500 0.000 0.000
0.000 0.500 0.000
0.000 0.000 0.500
0.301 0.301 0.911
0.897 0.897 0.367
0.367 0.897 0.897
0.911 0.301 0.301
0.897 0.367 0.897
0.301 0.911 0.301
0.699 0.699 0.089
0.103 0.103 0.633
0.633 0.103 0.103
0.089 0.699 0.699
0.103 0.633 0.103
0.699 0.089 0.699
```

Summary:
Uncorrected formation energy ... -33.9 eV/f.u.
Fermi-level density of states ... 4.98 states/eV per cell
SG ... R-3m (166)